# Ta2TcAu

A relaxed Ta2TcAu crystal (GGA-PBEsol, the Alexandria database).

Cell lengths 5.015, 5.015, 5.015 Å; angles 133.42, 133.42, 67.99 degrees
Positions (direct):
1 Ta 0.000 0.000 0.000
2 Ta 0.750 0.250 0.500
3 Tc 0.500 0.500 0.000
4 Au 0.250 0.750 0.500

Energy of formation = -16 meV per atom
Crystal system = tetragonal

# Ti2Ge2Ru

A relaxed Ti2Ge2Ru crystal (GGA-PBEsol, the Alexandria database).

Cell lengths 6.311, 6.311, 3.785 Å; angles 90.00, 90.00, 90.00 degrees
Positions (direct):
1 Ti 0.167 0.333 0.000
2 Ti 0.333 0.833 0.000
3 Ti 0.667 0.167 0.000
4 Ti 0.833 0.667 0.000
5 Ge 0.139 0.639 0.500
6 Ge 0.361 0.139 0.500
7 Ge 0.639 0.861 0.500
8 Ge 0.861 0.361 0.500
9 Ru 0.000 0.000 0.500
10 Ru 0.500 0.500 0.500

Energy of formation = -622 meV per atom
Crystal system = tetragonal

# V3H6O10

A relaxed V3H6O10 crystal (GGA-PBEsol, the Alexandria database).

Cell lengths 8.739, 8.739, 5.504 Å; angles 90.00, 90.00, 90.00 degrees
Positions (direct):
1 V 0.000 0.000 0.000
2 V 0.141 0.359 0.039
3 V 0.359 0.859 0.039
4 V 0.500 0.500 0.000
5 V 0.641 0.141 0.039
6 V 0.859 0.641 0.039
7 H 0.044 0.674 0.467
8 H 0.174 0.544 0.467
9 H 0.244 0.256 0.427
10 H 0.256 0.756 0.427
11 H 0.326 0.044 0.467
12 H 0.456 0.174 0.467
13 H 0.544 0.826 0.467
14 H 0.674 0.956 0.467
15 H 0.744 0.244 0.427
16 H 0.756 0.744 0.427
17 H 0.826 0.456 0.467
18 H 0.956 0.326 0.467
19 O 0.000 0.000 0.290
20 O 0.000 0.500 0.993
21 O 0.084 0.193 0.912
22 O 0.154 0.654 0.504
23 O 0.159 0.341 0.354
24 O 0.193 0.916 0.912
25 O 0.307 0.416 0.912
26 O 0.341 0.841 0.354
27 O 0.346 0.154 0.504
28 O 0.416 0.693 0.912
29 O 0.500 0.000 0.993
30 O 0.500 0.500 0.290
31 O 0.584 0.307 0.912
32 O 0.654 0.846 0.504
33 O 0.659 0.159 0.354
34 O 0.693 0.584 0.912
35 O 0.807 0.084 0.912
36 O 0.841 0.659 0.354
37 O 0.846 0.346 0.504
38 O 0.916 0.807 0.912

Crystal system = tetragonal
Polymorph energy (0 for the lowest one) = 1.5 kJ/mol of atoms

# Y3GaSi

A relaxed Y3GaSi crystal (GGA-PBEsol, the Alexandria database).

Cell lengths 5.251, 5.251, 5.251 Å; angles 90.00, 90.00, 90.00 degrees
Positions (direct):
1 Y 0.000 0.000 0.500
2 Y 0.000 0.500 0.000
3 Y 0.500 0.000 0.000
4 Ga 0.000 0.000 0.000
5 Si 0.500 0.500 0.500

Formation energy without anion corrections = 40 meV/atom
Crystal system = cubic

# CaCeIn2

A relaxed CaCeIn2 crystal (GGA-PBEsol, the Alexandria database).

Cell lengths 5.352, 5.352, 5.352 Å; angles 60.00, 60.00, 60.00 degrees
Positions (direct):
1 Ca 0.000 0.000 0.000
2 Ce 0.500 0.500 0.500
3 In 0.250 0.250 0.250
4 In 0.750 0.750 0.750

Energy of formation = -391 meV per atom
Crystal system = cubic

# CaBeTl2

A relaxed CaBeTl2 crystal (GGA-PBEsol, the Alexandria database).

Cell lengths 3.651, 4.273, 6.135 Å; angles 90.00, 101.80, 90.00 degrees
Positions (direct):
1 Ca 0.000 0.000 0.000
2 Be 0.500 0.000 0.500
3 Tl 0.351 0.500 0.714
4 Tl 0.649 0.500 0.286

Energy of formation = 72 meV per atom
Crystal system = monoclinic
Polymorph energy (0 for the lowest one) = 7.1 kJ/mol of atoms

# CeAsRh

A relaxed CeAsRh crystal (GGA-PBEsol, the Alexandria database).

Cell lengths 7.128, 4.327, 7.346 Å; angles 90.00, 90.00, 90.00 degrees
Positions (direct):
1 Ce 0.009 0.250 0.212
2 Ce 0.491 0.750 0.712
3 Ce 0.509 0.250 0.288
4 Ce 0.991 0.750 0.788
5 As 0.201 0.250 0.590
6 As 0.299 0.750 0.090
7 As 0.701 0.250 0.910
8 As 0.799 0.750 0.410
9 Rh 0.225 0.750 0.423
10 Rh 0.275 0.250 0.923
11 Rh 0.725 0.750 0.077
12 Rh 0.775 0.250 0.577

Energy of formation = -1116 meV per atom
Crystal system = orthorhombic

# LiAgCl2

A relaxed LiAgCl2 crystal (GGA-PBEsol, the Alexandria database).

Cell lengths 6.854, 6.854, 6.854 Å; angles 130.88, 130.88, 72.01 degrees
Positions (direct):
1 Li 0.000 0.000 0.000
2 Li 0.750 0.250 0.500
3 Ag 0.250 0.750 0.500
4 Ag 0.500 0.500 0.000
5 Cl 0.096 0.625 0.971
6 Cl 0.375 0.346 0.471
7 Cl 0.654 0.125 0.029
8 Cl 0.875 0.904 0.529

Formation energy without anion corrections = -1089 meV/atom
Crystal system = tetragonal

# C3Se5

A relaxed C3Se5 crystal (GGA-PBEsol, the Alexandria database).

Cell lengths 4.796, 4.796, 7.047 Å; angles 90.00, 90.00, 94.67 degrees
Positions (direct):
1 C 0.000 0.000 0.000
2 C 0.166 0.834 0.500
3 C 0.834 0.166 0.500
4 Se 0.000 0.500 0.000
5 Se 0.230 0.230 0.500
6 Se 0.500 0.000 0.000
7 Se 0.500 0.500 0.000
8 Se 0.770 0.770 0.500

Formation energy without anion corrections = 1704 meV/atom
Crystal system = orthorhombic

# LaGaBiTe2

A relaxed LaGaBiTe2 crystal (GGA-PBEsol, the Alexandria database).

Cell lengths 5.972, 5.972, 5.652 Å; angles 90.00, 90.00, 90.00 degrees
Positions (direct):
1 La 0.000 0.000 0.000
2 Ga 0.000 0.000 0.500
3 Bi 0.500 0.500 0.500
4 Te 0.000 0.500 0.000
5 Te 0.500 0.000 0.000

Formation energy without anion corrections = 293 meV/atom
Crystal system = tetragonal

# Rb3GaBr

A relaxed Rb3GaBr crystal (GGA-PBEsol, the Alexandria database).

Cell lengths 6.461, 6.461, 6.461 Å; angles 90.00, 90.00, 90.00 degrees
Positions (direct):
1 Rb 0.000 0.000 0.500
2 Rb 0.000 0.500 0.000
3 Rb 0.500 0.000 0.000
4 Ga 0.500 0.500 0.500
5 Br 0.000 0.000 0.000

Formation energy without anion corrections = -384 meV/atom
Crystal system = cubic

# FeAs

A relaxed FeAs crystal (GGA-PBEsol, the Alexandria database).

Cell lengths 5.305, 3.276, 5.897 Å; angles 90.00, 90.00, 90.00 degrees
Positions (direct):
1 Fe 0.002 0.250 0.200
2 Fe 0.498 0.750 0.700
3 Fe 0.502 0.250 0.300
4 Fe 0.998 0.750 0.800
5 As 0.198 0.250 0.577
6 As 0.302 0.750 0.077
7 As 0.698 0.250 0.923
8 As 0.802 0.750 0.423

Energy of formation = -290 meV per atom
Crystal system = orthorhombic

no.,theoretical density (g/cm3)
1,16.7
2,7.5
3,2.5
4,4.2
5,6.3
6,8.1
7,9.3
8,3.4
9,4.4
10,5.5
11,2.5
12,8.5